1.
Er3BeN | PBE-GGA | optimized geometry

Values from the calculation:
Crystal system   cubic
E   -5.737 eV per atom
M_tot   0.0 μB/f.u.
Density   8.52 Mg/m³
ΔE_f (raw)   -0.589 eV/atom

a = 4.677 Å, b = 4.677 Å, c = 4.677 Å
α = 90.00°, β = 90.00°, γ = 90.00°
Element x y z (fractional)
Be  0.500  0.500  0.500
Er  0.000  0.000  0.500
Er  0.500  0.000  0.000
N  0.000  0.000  0.000
Er  0.000  0.500  0.000

***

2.
Tb7Nd2Y3 | PBE-GGA | optimized geometry

Values from the calculation:
Crystal system   monoclinic
E   -5.029 eV per atom
Polymorph energy (0 for the lowest one)   10.8 meV/atom
M_tot   0.0 μB/f.u.
Density   7.01 Mg/m³

a = 3.613 Å, b = 5.823 Å, c = 18.813 Å
α = 93.61°, β = 90.00°, γ = 90.00°
Element x y z (fractional)
Y  0.000  0.221  0.369
Tb  0.500  0.184  0.175
Nd  0.500  0.707  0.294
Tb  0.500  0.816  0.825
Tb  0.500  0.742  0.462
Y  0.000  0.779  0.631
Tb  0.500  0.258  0.538
Tb  0.000  0.318  0.857
Tb  0.000  0.682  0.143
Y  0.500  0.500  0.000
Tb  0.000  0.000  0.000
Nd  0.500  0.293  0.706

***

3.
ReSb2Os | PBE-GGA | optimized geometry

Values from the calculation:
Crystal system   tetragonal
E   -7.692 eV per atom
Polymorph energy (0 for the lowest one)   0.0 meV/atom
M_tot   0.0 μB/f.u.
Density   12.23 Mg/m³
ΔE_f (raw)   0.289 eV/atom

a = 3.016 Å, b = 3.016 Å, c = 9.253 Å
α = 90.00°, β = 90.00°, γ = 90.00°
Element x y z (fractional)
Sb  0.500  0.500  0.326
Os  0.000  0.000  0.535
Re  0.500  0.500  0.714
Sb  0.000  0.000  0.925

***

4.
YTl2As | PBE-GGA | optimized geometry

Values from the calculation:
Crystal system   monoclinic
E   -4.467 eV per atom
Polymorph energy (0 for the lowest one)   0.0 meV/atom
M_tot   0.0 μB/f.u.
Density   8.20 Mg/m³

a = 3.957 Å, b = 3.960 Å, c = 8.354 Å
α = 62.38°, β = 90.00°, γ = 90.00°
Element x y z (fractional)
Tl  0.000  0.969  0.015
Tl  0.500  0.237  0.258
Y  0.000  0.436  0.573
As  0.500  0.858  0.653

***

> Which value of M_tot does entry 1 give?

0.0 μB/f.u.

***

Repeat the second record exactly.
Tb7Nd2Y3 | PBE-GGA | optimized geometry

Values from the calculation:
Crystal system   monoclinic
E   -5.029 eV per atom
Polymorph energy (0 for the lowest one)   10.8 meV/atom
M_tot   0.0 μB/f.u.
Density   7.01 Mg/m³

a = 3.613 Å, b = 5.823 Å, c = 18.813 Å
α = 93.61°, β = 90.00°, γ = 90.00°
Element x y z (fractional)
Y  0.000  0.221  0.369
Tb  0.500  0.184  0.175
Nd  0.500  0.707  0.294
Tb  0.500  0.816  0.825
Tb  0.500  0.742  0.462
Y  0.000  0.779  0.631
Tb  0.500  0.258  0.538
Tb  0.000  0.318  0.857
Tb  0.000  0.682  0.143
Y  0.500  0.500  0.000
Tb  0.000  0.000  0.000
Nd  0.500  0.293  0.706

***

> What is the formula in the third record?

ReSb2Os